## Ho3TmHg12 (PBE)

Data for a relaxed structure of Ho3TmHg12.

Values from the calculation:
VASP energy = -1.66 eV/atom
Formation enthalpy at 0 K = -0.30 eV/atom

Lattice parameters (Å, degrees): 4.493 4.493 19.207 90.00 90.00 90.00
Fractional coordinates of all 16 atoms:
Ho (0.000, 0.000, 0.249)
Ho (0.000, 0.000, 0.500)
Ho (0.000, 0.000, 0.751)
Tm (0.000, 0.000, 0.000)
Hg (0.500, 0.500, 0.000)
Hg (0.500, 0.500, 0.250)
Hg (0.500, 0.500, 0.500)
Hg (0.500, 0.500, 0.750)
Hg (0.500, 0.000, 0.124)
Hg (0.500, 0.000, 0.375)
Hg (0.500, 0.000, 0.625)
Hg (0.500, 0.000, 0.876)
Hg (0.000, 0.500, 0.124)
Hg (0.000, 0.500, 0.375)
Hg (0.000, 0.500, 0.625)
Hg (0.000, 0.500, 0.876)

## FeAsC3 (PBE)

Data for a relaxed structure of FeAsC3.

Values from the calculation:
Energy above the lowest structure with this stoichiometry = 0 meV/atom
VASP energy = -6.07 eV/atom
Formation enthalpy at 0 K = 2.09 eV/atom

Lattice parameters (Å, degrees): 3.791 3.791 3.791 90.00 90.00 90.00
Fractional coordinates of all 5 atoms:
C (0.000, 0.500, 0.000)
C (0.000, 0.000, 0.500)
C (0.500, 0.000, 0.000)
As (0.500, 0.500, 0.500)
Fe (0.000, 0.000, 0.000)

## LaPrSmY (PBE)

Data for a relaxed structure of LaPrSmY.

Values from the calculation:
Energy above the lowest structure with this stoichiometry = 79 meV/atom
VASP energy = -5.12 eV/atom
Formation enthalpy at 0 K = 0.10 eV/atom

Lattice parameters (Å, degrees): 5.830 5.830 5.830 60.00 60.00 60.00
Fractional coordinates of all 4 atoms:
Pr (0.500, 0.500, 0.500)
Y (0.750, 0.750, 0.750)
Sm (0.250, 0.250, 0.250)
La (0.000, 0.000, 0.000)

## Pr2HoScS4 (PBE)

Data for a relaxed structure of Pr2HoScS4.

Values from the calculation:
Raw formation energy = -1.959 eV/atom
VASP energy = -6.58 eV/atom

Lattice parameters (Å, degrees): 3.881 6.754 7.025 108.57 90.00 90.00
Fractional coordinates of all 8 atoms:
Pr (0.500, 0.000, 0.500)
Pr (0.000, 0.500, 0.500)
Ho (0.500, 0.500, 0.000)
Sc (0.000, 0.000, 0.000)
S (0.500, 0.233, 0.220)
S (0.500, 0.767, 0.780)
S (0.000, 0.252, 0.776)
S (0.000, 0.748, 0.224)

## ZrCoHg2Te (PBE)

Data for a relaxed structure of ZrCoHg2Te.

Values from the calculation:
Raw formation energy = 0.468 eV/atom
VASP energy = -3.41 eV/atom

Lattice parameters (Å, degrees): 4.935 4.771 4.935 90.00 90.00 90.00
Fractional coordinates of all 5 atoms:
Te (0.000, 0.500, 0.000)
Co (0.000, 0.000, 0.000)
Hg (0.000, 0.000, 0.500)
Hg (0.500, 0.000, 0.000)
Zr (0.500, 0.500, 0.500)

## Tm2Cd2Hg5 (PBE)

Data for a relaxed structure of Tm2Cd2Hg5.

Values from the calculation:
VASP energy = -1.50 eV/atom
Formation enthalpy at 0 K = -0.13 eV/atom

Lattice parameters (Å, degrees): 7.671 7.603 8.666 116.02 90.00 90.00
Fractional coordinates of all 18 atoms:
Tm (0.000, 0.212, 0.424)
Tm (0.500, 0.712, 0.424)
Tm (0.000, 0.788, 0.576)
Tm (0.500, 0.288, 0.576)
Cd (0.635, 0.867, 0.000)
Cd (0.365, 0.133, 0.000)
Cd (0.135, 0.633, 0.000)
Cd (0.865, 0.367, 0.000)
Hg (0.000, 0.000, 0.000)
Hg (0.500, 0.500, 0.000)
Hg (0.832, 0.805, 0.267)
Hg (0.168, 0.462, 0.267)
Hg (0.332, 0.962, 0.267)
Hg (0.668, 0.305, 0.267)
Hg (0.168, 0.195, 0.733)
Hg (0.832, 0.538, 0.733)
Hg (0.668, 0.038, 0.733)
Hg (0.332, 0.695, 0.733)

## NiMoPd (PBE)

Data for a relaxed structure of NiMoPd.

Values from the calculation:
Energy above the lowest structure with this stoichiometry = 0 meV/atom
VASP energy = -7.32 eV/atom
Formation enthalpy at 0 K = -0.06 eV/atom

Lattice parameters (Å, degrees): 4.674 3.793 2.715 90.03 106.89 113.98
Fractional coordinates of all 3 atoms:
Ni (0.851, 0.911, 0.893)
Mo (0.539, 0.255, 0.238)
Pd (0.187, 0.579, 0.562)

## DyPaBeO6 (PBE)

Data for a relaxed structure of DyPaBeO6.

Values from the calculation:
Raw formation energy = -2.536 eV/atom
VASP energy = -7.82 eV/atom

Lattice parameters (Å, degrees): 4.809 5.230 5.230 120.00 90.00 90.00
Site moments in Bohr magnetons follow the coordinates.
Fractional coordinates of all 9 atoms:
Dy (0.500, 0.667, 0.333)  0.02
Pa (0.000, 0.333, 0.667)  -0.05
Be (0.500, 0.000, 0.000)  -0.01
O (0.729, 0.692, 0.720)  0.28
O (0.729, 0.280, 0.972)  0.28
O (0.729, 0.028, 0.308)  0.28
O (0.271, 0.280, 0.308)  0.28
O (0.271, 0.692, 0.972)  0.28
O (0.271, 0.028, 0.720)  0.28

## KIr2W (PBE)

Data for a relaxed structure of KIr2W.

Values from the calculation:
Energy above the lowest structure with this stoichiometry = 667 meV/atom
VASP energy = -7.00 eV/atom
Formation enthalpy at 0 K = 0.95 eV/atom

Lattice parameters (Å, degrees): 5.053 5.053 2.771 90.00 90.00 102.91
Fractional coordinates of all 4 atoms:
Ir (0.000, 0.000, 0.000)
Ir (0.500, 0.500, 0.000)
K (0.500, 0.000, 0.500)
W (0.000, 0.500, 0.500)

## Ac4Nd3Tm (PBE)

Data for a relaxed structure of Ac4Nd3Tm.

Values from the calculation:
VASP energy = -4.36 eV/atom
Formation enthalpy at 0 K = 0.04 eV/atom

Lattice parameters (Å, degrees): 7.573 7.576 10.900 90.00 90.00 90.00
Fractional coordinates of all 16 atoms:
Ac (0.999, 0.812, 0.000)
Ac (0.501, 0.309, 0.000)
Ac (0.749, 0.061, 0.748)
Ac (0.251, 0.561, 0.752)
Ac (0.499, 0.809, 0.500)
Ac (0.001, 0.312, 0.500)
Ac (0.251, 0.561, 0.248)
Ac (0.749, 0.061, 0.252)
Tm (0.500, 0.811, 0.000)
Tm (0.500, 0.311, 0.500)
Nd (0.000, 0.310, 0.000)
Nd (0.253, 0.061, 0.750)
Nd (0.747, 0.561, 0.750)
Nd (0.000, 0.810, 0.500)
Nd (0.747, 0.561, 0.250)
Nd (0.253, 0.061, 0.250)

## Cs2HfInIr (PBE)

Data for a relaxed structure of Cs2HfInIr.

Values from the calculation:
VASP energy = -3.27 eV/atom
Formation enthalpy at 0 K = 1.38 eV/atom

Lattice parameters (Å, degrees): 6.228 5.223 6.228 90.00 90.00 90.00
Site moments in Bohr magnetons follow the coordinates.
Fractional coordinates of all 5 atoms:
Cs (0.000, 0.000, 0.500)  0.01
Cs (0.500, 0.000, 0.000)  0.01
Ir (0.000, 0.000, 0.000)  0.09
Hf (0.500, 0.500, 0.500)  0.23
In (0.000, 0.500, 0.000)  0.01

What are the M_tot values for these records? In order: 0.00; 0.00; 0.00; 0.00; 0.00; 0.00; 0.00; 1.97; 0.00; 0.00; 0.64 μB per cell.